Run P
SmY2Tm3 | GGA-PBE | relaxed

Crystal system = orthorhombic

Structure (CIF):
```
data_SmY2Tm3
_cell_length_a 14.658
_cell_length_b 10.043
_cell_length_c 5.553
_cell_angle_alpha 90.00
_cell_angle_beta 90.00
_cell_angle_gamma 90.00
_space_group_name_H-M_alt 'C m c m'
_space_group_IT_number 63
_space_group_name_Hall '-C 2c 2'
loop_
_atom_site_label
_atom_site_type_symbol
_atom_site_fract_x
_atom_site_fract_y
_atom_site_fract_z
_atom_site_occupancy
Sm1 Sm 0.000 0.239 0.250 1
Y1 Y 0.111 0.099 0.750 1
Tm1 Tm 0.000 0.410 0.750 1
Tm2 Tm 0.237 0.373 0.750 1
```

***

Run Q
SmY2Tm3 | GGA-PBE | relaxed

Crystal system = monoclinic

Structure (CIF):
```
data_SmY2Tm3
_cell_length_a 17.341
_cell_length_b 7.083
_cell_length_c 6.124
_cell_angle_alpha 90.00
_cell_angle_beta 90.13
_cell_angle_gamma 90.00
_space_group_name_H-M_alt 'C 1 2/c 1'
_space_group_IT_number 15
loop_
_space_group_symop_operation_xyz
'x,y,z'
'-x,-y,-z'
'-x,y,-z+1/2'
'x,-y,z+1/2'
'x+1/2,y+1/2,z'
'-x+1/2,-y+1/2,-z'
'-x+1/2,y+1/2,-z+1/2'
'x+1/2,-y+1/2,z+1/2'
loop_
_atom_site_label
_atom_site_type_symbol
_atom_site_fract_x
_atom_site_fract_y
_atom_site_fract_z
_atom_site_occupancy
Sm1 Sm 0.000 0.124 0.250 1
Y1 Y 0.167 0.375 0.416 1
Tm1 Tm 0.000 0.375 0.750 1
Tm2 Tm 0.167 0.125 0.917 1
```

***

It comes down to run Q, which is 329 meV per atom more stable than the next structure.